(1)
Compound: KSn2Sb2
Source: Alexandria via LeMat-Bulk
Functional: GGA-PBE
Structure: optimized geometry

abc: 8.926 8.926 3.941
angles: 90.00 90.00 90.00
Element x y z (fractional)
Sb (0.154, 0.654, 0.500)
Sb (0.654, 0.846, 0.500)
Sb (0.846, 0.346, 0.500)
Sb (0.346, 0.154, 0.500)
K (0.000, 0.000, 0.000)
K (0.500, 0.500, 0.000)
Sn (0.372, 0.872, 0.000)
Sn (0.872, 0.628, 0.000)
Sn (0.628, 0.128, 0.000)
Sn (0.128, 0.372, 0.000)

Results
ρ, g/cm3: 5.50
SG: No. 127
E_form (uncorrected), eV/atom: -0.0876
V, Å³ per cell: 314.1
DFT total energy, eV per atom: -3.557

=====

(2)
Compound: GaTc2Te
Source: Alexandria via LeMat-Bulk
Functional: GGA-PBE
Structure: optimized geometry

abc: 4.483 4.483 4.483
angles: 60.00 60.00 60.00
Element x y z (fractional)
Te (0.500, 0.500, 0.500)
Tc (0.250, 0.250, 0.250)
Tc (0.750, 0.750, 0.750)
Ga (0.000, 0.000, 0.000)

Results
ρ, g/cm3: 10.25
SG: No. 225
E_form (uncorrected), eV/atom: 0.1187
V, Å³ per cell: 63.7
DFT total energy, eV per atom: -6.606

=====

(3)
Compound: DyThSe4
Source: Alexandria via LeMat-Bulk
Functional: GGA-PBE
Structure: optimized geometry

abc: 7.137 7.009 7.074
angles: 90.00 92.99 90.00
Element x y z (fractional)
Dy (0.500, 0.000, 0.500)
Dy (0.000, 0.500, 0.500)
Th (0.000, 0.000, 0.000)
Th (0.500, 0.500, 0.000)
Se (0.854, 0.643, 0.146)
Se (0.646, 0.143, 0.854)
Se (0.368, 0.370, 0.373)
Se (0.132, 0.870, 0.627)
Se (0.146, 0.357, 0.854)
Se (0.354, 0.857, 0.146)
Se (0.632, 0.630, 0.627)
Se (0.868, 0.130, 0.373)

Results
ρ, g/cm3: 6.68
SG: No. 14
E_form (uncorrected), eV/atom: -1.4061
V, Å³ per cell: 353.4
DFT total energy, eV per atom: -5.733

=====

Question: Which of these has the highest E_form (uncorrected)?
Answer: GaTc2Te

=====

Question: The highest E_form (uncorrected) belongs to which entry?
Answer: GaTc2Te

=====

Question: Which value of DFT total energy does entry 3 give?
Answer: -5.733 eV per atom